[1]
VASP calculation (PBE) on an optimized crystal structure of LaYCu4.

Results
Formation enthalpy at 0 K in eV/atom: -0.098
Energy in hartree per atom: -0.174
Mass density in Mg/m³: 7.37
Energy above the most stable polymorph in this dataset in meV per atom: 131
Crystal system: cubic

Unit cell a=7.5724 b=7.5724 c=7.5724 alpha=90.00 beta=90.00 gamma=90.00
Closest atoms and distances in Å follow each position.
Space group F-43m (No. 216)
One atom of each set of equivalent atoms:
La: 0.0000 0.0000 0.0000 x4  12 Cu 3.14, 4 Y 3.28
Y: 0.2500 0.2500 0.7500 x4  12 Cu 3.14, 4 La 3.28
Cu: 0.1235 0.1235 0.3765 x16  6 Cu 2.65-2.71

[2]
VASP calculation (PBE) on an optimized crystal structure of Cs2PaInTe4.

Results
Energy in hartree per atom: -0.147
Mass density in Mg/m³: 4.92
ΔE_f (raw) in eV per atom: -0.695
Crystal system: tetragonal

Unit cell a=9.1973 b=9.1973 c=8.9532 alpha=90.00 beta=90.00 gamma=90.00
Closest atoms and distances in Å follow each position.
Space group I-42m (No. 121)
One atom of each set of equivalent atoms:
Cs: 0.0000 0.5000 0.0000 x4  8 Te 3.98-4.26
Pa: 0.0000 0.0000 0.0000 x2  4 Te 2.89
In: 0.0000 0.0000 0.5000 x2  4 Te 3.26
Te: 0.1618 0.1618 0.2214 x8  1 Pa 2.89

[3]
VASP calculation (PBE) on an optimized crystal structure of Si2RuPt.

Results
Energy in hartree per atom: -0.251
Mass density in Mg/m³: 10.57
ΔE_f (raw) in eV per atom: -0.297
Crystal system: tetragonal

Unit cell a=3.5568 b=3.5568 c=8.7530 alpha=90.00 beta=90.00 gamma=90.00
Closest atoms and distances in Å follow each position.
Space group I-4m2 (No. 119)
One atom of each set of equivalent atoms:
Si: 0.0000 0.0000 0.0000 x2  4 Ru 2.52
Si: 0.0000 0.5000 0.2500 x2  4 Pt 2.52
Ru: 0.0000 0.0000 0.5000 x2  4 Si 2.52
Pt: 0.0000 0.5000 0.7500 x2  4 Si 2.52

[4]
VASP calculation (PBE) on an optimized crystal structure of AlInFe.

Results
Formation enthalpy at 0 K in eV/atom: 0.078
Energy in hartree per atom: -0.180
Mass density in Mg/m³: 7.07
Crystal system: tetragonal

Unit cell a=3.1300 b=3.1300 c=9.4794 alpha=90.00 beta=90.00 gamma=90.00
Closest atoms and distances in Å follow each position.
Space group I4mm (No. 107)
One atom of each set of equivalent atoms:
Al: 0.0000 0.0000 0.0000 x2  4 Fe 2.46
In: 0.0000 0.0000 0.7061 x2  5 Al 2.79-2.95, 5 Fe 2.80-3.03
Fe: 0.0000 0.0000 0.3868 x2  4 Al 2.46

[5]
VASP calculation (PBE) on an optimized crystal structure of TlNiTe2.

Results
Energy in hartree per atom: -0.133
Mass density in Mg/m³: 8.15
ΔE_f (raw) in eV per atom: -0.012
Crystal system: orthorhombic

Unit cell a=3.2640 b=3.5387 c=18.2946 alpha=90.00 beta=90.00 gamma=90.00
Closest atoms and distances in Å follow each position.
Space group Imm2 (No. 44)
One atom of each set of equivalent atoms:
Tl: 0.0000 0.0000 0.0000 x2  4 Tl 3.26-3.54, 6 Te 3.62-3.65
Ni: 0.0000 0.5000 0.7554 x2  6 Te 2.62-2.71
Te: 0.0000 0.0000 0.6497 x2  2 Ni 2.62
Te: 0.0000 0.5000 0.3232 x2  4 Ni 2.71

[6]
VASP calculation (PBE) on an optimized crystal structure of Tb2Sm3Dy6In.

Results
Formation enthalpy at 0 K in eV/atom: -0.044
Energy in hartree per atom: -0.166
Mass density in Mg/m³: 8.26
Crystal system: monoclinic

Unit cell a=6.1203 b=10.6094 c=11.6853 alpha=90.00 beta=100.12 gamma=90.00
Closest atoms and distances in Å follow each position.
Space group C2/m (No. 12)
One atom of each set of equivalent atoms:
Tb: 0.0000 0.1661 0.0000 x4  6 Dy 3.49-3.50, 3 Tb 3.52-3.54, 3 In 3.53-3.54
Sm: 0.0000 0.0000 0.5000 x2  6 Sm 3.53-3.54, 6 Dy 3.57-3.58
Sm: 0.0000 0.3327 0.5000 x4  6 Sm 3.53-3.55, 6 Dy 3.56-3.59
Dy: 0.2448 0.3361 0.2449 x8  1 In 3.46, 6 Dy 3.48-3.57, 2 Tb 3.49, 3 Sm 3.56-3.59
Dy: 0.2466 0.5000 0.7538 x4  1 In 3.48, 6 Dy 3.48-3.57, 2 Tb 3.50, 3 Sm 3.56-3.58
In: 0.0000 0.5000 0.0000 x2  6 Dy 3.46-3.48, 6 Tb 3.53-3.54

[7]
VASP calculation (PBE) on an optimized crystal structure of Ac2AlCdPd6.

Results
Formation enthalpy at 0 K in eV/atom: -0.694
Energy in hartree per atom: -0.187
Mass density in Mg/m³: 9.30
Crystal system: triclinic

Unit cell a=5.7193 b=6.7037 c=6.9654 alpha=77.32 beta=65.79 gamma=64.77
Closest atoms and distances in Å follow each position.
Space group P-1 (No. 2)
One atom of each set of equivalent atoms:
Ac: 0.2477 0.2183 0.2867 x2  7 Pd 3.11-3.37
Al: 0.0000 0.0000 0.0000 x1  6 Pd 2.46-2.56
Cd: 0.5000 0.5000 0.5000 x1  6 Pd 2.68-2.71
Pd: 0.2452 0.5921 0.9132 x2  1 Al 2.56, 1 Cd 2.71, 4 Pd 2.76-2.81
Pd: 0.2501 0.7669 0.2344 x2  1 Al 2.46, 1 Cd 2.68
Pd: 0.2526 0.2317 0.7641 x2  1 Al 2.46, 1 Cd 2.68

[8]
VASP calculation (PBE) on an optimized crystal structure of Ac4S5I.

Results
Energy in hartree per atom: -0.209
Mass density in Mg/m³: 5.50
ΔE_f (raw) in eV per atom: -1.836
Crystal system: orthorhombic

Unit cell a=9.3465 b=10.6037 c=7.2802 alpha=90.00 beta=90.00 gamma=90.00
Closest atoms and distances in Å follow each position.
Space group Pmmn (No. 59, origin choice 2)
One atom of each set of equivalent atoms:
Ac: 0.0201 0.2500 0.0065 x4  3 S 2.86-2.89
Ac: 0.2500 0.0343 0.4982 x4  5 S 2.89-3.02
S: 0.0096 0.5407 0.7483 x8  3 Ac 2.86-3.02
S: 0.2500 0.2500 0.7417 x2  4 Ac 2.89
I: 0.2500 0.7500 0.2996 x2  4 Ac 3.34-3.37

[9]
VASP calculation (PBE) on an optimized crystal structure of AcHoPuSn.

Results
Formation enthalpy at 0 K in eV/atom: -0.041
Energy in hartree per atom: -0.250
Mass density in Mg/m³: 10.48
Crystal system: cubic

Unit cell a=7.8215 b=7.8215 c=7.8215 alpha=90.00 beta=90.00 gamma=90.00
Closest atoms and distances in Å follow each position.
Space group F-43m (No. 216)
One atom of each set of equivalent atoms:
Ac: 0.0000 0.0000 0.0000 x4  4 Ho 3.39, 4 Pu 3.39
Ho: 0.2500 0.2500 0.2500 x4  4 Ac 3.39, 4 Sn 3.39
Pu: 0.2500 0.2500 0.7500 x4  4 Ac 3.39, 4 Sn 3.39
Sn: 0.0000 0.0000 0.5000 x4  4 Ho 3.39, 4 Pu 3.39

[10]
VASP calculation (PBE) on an optimized crystal structure of TaBeTe2I.

Results
Energy in hartree per atom: -0.146
Mass density in Mg/m³: 5.74
ΔE_f (raw) in eV per atom: 0.708
Energy above the most stable polymorph in this dataset in meV per atom: 0
Crystal system: tetragonal

Unit cell a=5.3892 b=5.3892 c=5.6986 alpha=90.00 beta=90.00 gamma=90.00
Closest atoms and distances in Å follow each position.
Space group P4/mmm (No. 123)
One atom of each set of equivalent atoms:
Ta: 0.0000 0.0000 0.0000 x1  4 Te 2.69, 2 I 2.85
Be: 0.5000 0.5000 0.5000 x1  4 I 3.81, 8 Te 3.92
Te: 0.0000 0.5000 0.0000 x2  2 Ta 2.69
I: 0.0000 0.0000 0.5000 x1  2 Ta 2.85

[11]
VASP calculation (PBE) on an optimized crystal structure of Li2Al8Fe.

Results
Formation enthalpy at 0 K in eV/atom: -0.108
Energy in hartree per atom: -0.145
Mass density in Mg/m³: 2.76
Crystal system: monoclinic

Unit cell a=16.0957 b=4.4202 c=4.9031 alpha=90.00 beta=100.15 gamma=90.00
Closest atoms and distances in Å follow each position.
Space group C2/m (No. 12)
One atom of each set of equivalent atoms:
Li: 0.1564 0.0000 0.3089 x4  7 Al 2.66-2.82
Al: 0.0346 0.0000 0.7583 x4  2 Fe 2.56, 4 Al 2.58-2.79
Al: 0.0777 0.5000 0.1029 x4  1 Fe 2.49, 4 Al 2.53-2.75, 2 Li 2.66
Al: 0.1539 0.5000 0.6501 x4  1 Fe 2.46, 4 Al 2.72-2.75
Al: 0.2496 0.0000 0.8267 x4  4 Li 2.71-3.02, 7 Al 2.74-3.03
Fe: 0.0000 0.5000 0.5000 x2  8 Al 2.46-2.56

[12]
VASP calculation (PBE) on an optimized crystal structure of NaReSi.

Results
Energy in hartree per atom: -0.232
Mass density in Mg/m³: 6.90
ΔE_f (raw) in eV per atom: 0.080
Crystal system: tetragonal

Unit cell a=3.8596 b=3.8596 c=7.6696 alpha=90.00 beta=90.00 gamma=90.00
Closest atoms and distances in Å follow each position.
Space group P4/nmm (No. 129, origin choice 2)
One atom of each set of equivalent atoms:
Na: 0.2500 0.2500 0.1343 x2  5 Si 2.97-3.23
Re: 0.2500 0.7500 0.5000 x2  4 Si 2.53, 4 Re 2.73
Si: 0.2500 0.2500 0.7127 x2  4 Re 2.53